Record 1
Here is crystalline Ac2GaCu6Si at its relaxed geometry from Alexandria. Energies are from GGA-PBE.

Cell lengths 6.2349, 6.2651, 6.6766 Å; angles 62.46, 62.28, 60.25 degrees
Last column: nearest neighbours and their distance in Å.
Space group P-1 (No. 2)
One atom of each set of equivalent atoms:
Ac: 0.2119 0.2112 0.3618 x2  12 Cu 3.20-3.54
Ga: 0.5000 0.5000 0.5000 x1  6 Cu 2.48-2.49
Cu: 0.2463 0.6489 0.8585 x2  1 Si 2.30, 1 Ga 2.49, 2 Cu 2.52-2.53
Cu: 0.2472 0.2465 0.8544 x2  1 Si 2.30, 1 Ga 2.48, 2 Cu 2.53
Cu: 0.3494 0.7493 0.1437 x2  1 Si 2.30, 1 Ga 2.48, 2 Cu 2.52-2.53
Si: 0.0000 0.0000 0.0000 x1  6 Cu 2.30

***

Record 2
Here is crystalline Ac2Ga3Cu4Si at its relaxed geometry from Alexandria. Energies are from GGA-PBE.

Cell lengths 4.3891, 4.3891, 10.1122 Å; angles 90.00, 90.00, 90.00 degrees
Last column: nearest neighbours and their distance in Å.
Space group P-4m2 (No. 115)
One atom of each set of equivalent atoms:
Ac: 0.0000 0.5000 0.2500 x2  2 Si 3.35, 6 Ga 3.35, 9 Cu 3.35-3.75
Ga: 0.0000 0.0000 0.0000 x1  4 Cu 2.51
Ga: 0.0000 0.5000 0.6244 x2  5 Cu 2.53-2.58
Cu: 0.0000 0.0000 0.5000 x1  4 Ga 2.53
Cu: 0.0000 0.5000 0.8795 x2  2 Si 2.51, 3 Ga 2.51-2.58
Cu: 0.5000 0.5000 0.5000 x1  4 Ga 2.53
Si: 0.5000 0.5000 0.0000 x1  4 Cu 2.51

***

no.,total magnetic moment (μB per formula unit),calculated total energy (eV per atom)
1,0.0,-4.35
2,0.0,-4.30